Record 1
DFT (GGA-PBE) results for a geometry-optimized CrBi3C structure. Values from VASP.

The structure in Quantum ESPRESSO input format:
```
&SYSTEM
  ibrav = 0, nat = 5, ntyp = 3
/
ATOMIC_SPECIES
Cr 52.00 Cr.upf
Bi 208.98 Bi.upf
C 12.01 C.upf
CELL_PARAMETERS angstrom
5.116 0.000 0.000
0.000 5.116 0.000
0.000 0.000 5.116
ATOMIC_POSITIONS angstrom
Cr 0.000 0.000 0.000
Bi 0.000 0.000 2.558
Bi 0.000 2.558 0.000
Bi 2.558 0.000 0.000
C 2.558 2.558 2.558
```

Properties
- ΔH_f (0 K) (meV/atom) = 1662
- energy relative to the lowest polymorph listed for this composition (meV per atom) = 104.0
- N(E_F) (states/eV per atom) = 0.6476
- total DFT energy (no corrections) (eV/atom) = -4.44



Record 2
DFT (GGA-PBE) results for a geometry-optimized TlHg4Sb structure. Values from VASP.

The structure in Quantum ESPRESSO input format:
```
&SYSTEM
  ibrav = 0, nat = 12, ntyp = 3
/
ATOMIC_SPECIES
Tl 204.38 Tl.upf
Hg 200.59 Hg.upf
Sb 121.76 Sb.upf
CELL_PARAMETERS angstrom
5.365 -3.554 0.000
5.365 3.554 0.000
-1.811 0.000 9.327
ATOMIC_POSITIONS angstrom
Tl 1.704 0.000 2.867
Tl 7.215 0.000 6.460
Hg 3.967 1.983 0.646
Hg 4.459 1.410 4.663
Hg 4.952 1.983 8.681
Hg 3.170 0.000 7.306
Hg 5.749 0.000 2.021
Hg 3.967 -1.983 0.646
Hg 4.459 -1.410 4.663
Hg 4.952 -1.983 8.681
Sb 0.510 0.000 6.064
Sb 8.409 0.000 3.263
```

Properties
- energy relative to the lowest polymorph listed for this composition (meV per atom) = 0.0
- N(E_F) (states/eV per atom) = 0.2977
- ΔE_f (raw) (eV per atom) = 0.048
- total DFT energy (no corrections) (eV/atom) = -1.23



Record 3
DFT (GGA-PBE) results for a geometry-optimized Er2Co3Ge5 structure. Values from VASP.

The structure in Quantum ESPRESSO input format:
```
&SYSTEM
  ibrav = 0, nat = 20, ntyp = 3
/
ATOMIC_SPECIES
Er 167.26 Er.upf
Co 58.93 Co.upf
Ge 72.64 Ge.upf
CELL_PARAMETERS angstrom
2.014 -12.048 0.000
2.014 12.048 0.000
0.000 0.000 6.625
ATOMIC_POSITIONS angstrom
Er 2.014 11.481 3.313
Er 2.014 4.194 3.243
Er 2.014 -4.194 6.556
Er 2.014 -11.481 0.000
Co 2.014 9.457 1.538
Co 2.014 5.325 0.001
Co 2.014 1.268 1.870
Co 2.014 -1.268 5.183
Co 2.014 -5.325 3.314
Co 2.014 -9.457 4.850
Ge 2.014 9.757 5.754
Ge 2.014 7.098 1.929
Ge 2.014 6.938 4.692
Ge 2.014 2.888 6.539
Ge 2.014 1.185 4.409
Ge 2.014 -1.185 1.096
Ge 2.014 -2.888 3.226
Ge 2.014 -6.938 1.379
Ge 2.014 -7.098 5.242
Ge 2.014 -9.757 2.442
```

Properties
- ΔH_f (0 K) (meV/atom) = -517
- energy relative to the lowest polymorph listed for this composition (meV per atom) = 59.3
- N(E_F) (states/eV per atom) = 0.6215
- total DFT energy (no corrections) (eV/atom) = -5.87



Record 4
DFT (GGA-PBE) results for a geometry-optimized CdGa2Ir structure. Values from VASP.

The structure in Quantum ESPRESSO input format:
```
&SYSTEM
  ibrav = 0, nat = 4, ntyp = 3
/
ATOMIC_SPECIES
Cd 112.41 Cd.upf
Ga 69.72 Ga.upf
Ir 192.22 Ir.upf
CELL_PARAMETERS angstrom
2.121 1.225 4.842
-2.121 1.225 4.842
0.000 -2.449 4.842
ATOMIC_POSITIONS angstrom
Cd 0.000 0.000 0.000
Ga 0.000 0.000 8.148
Ga 0.000 0.000 11.519
Ir 0.000 0.000 2.772
```

Properties
- ΔH_f (0 K) (meV/atom) = -185
- N(E_F) (states/eV per atom) = 0.3495
- total DFT energy (no corrections) (eV/atom) = -4.14



Record 5
DFT (GGA-PBE) results for a geometry-optimized Na3Zn2Bi2 structure. Values from VASP.

The structure in Quantum ESPRESSO input format:
```
&SYSTEM
  ibrav = 0, nat = 28, ntyp = 3
/
ATOMIC_SPECIES
Na 22.99 Na.upf
Zn 65.41 Zn.upf
Bi 208.98 Bi.upf
CELL_PARAMETERS angstrom
5.824 0.000 0.000
0.000 9.787 0.000
0.000 0.000 14.006
ATOMIC_POSITIONS angstrom
Na 0.754 1.411 1.571
Na 0.754 1.411 5.432
Na 0.754 3.483 8.574
Na 0.754 3.483 12.435
Na 2.049 7.206 10.504
Na 2.049 7.474 3.501
Na 3.776 2.313 10.504
Na 3.776 2.581 3.501
Na 5.070 6.304 1.571
Na 5.070 6.304 5.432
Na 5.070 8.376 8.574
Na 5.070 8.376 12.435
Zn 2.205 0.266 8.124
Zn 2.205 0.266 12.885
Zn 2.205 4.627 1.121
Zn 2.205 4.627 5.882
Zn 3.619 5.160 8.124
Zn 3.619 5.160 12.885
Zn 3.619 9.521 1.121
Zn 3.619 9.521 5.882
Bi 0.861 0.689 10.504
Bi 0.861 4.205 3.501
Bi 2.089 7.340 0.000
Bi 2.089 7.340 7.003
Bi 3.735 2.447 0.000
Bi 3.735 2.447 7.003
Bi 4.963 5.583 10.504
Bi 4.963 9.098 3.501
```

Properties
- ΔH_f (0 K) (meV/atom) = -171
- N(E_F) (states/eV per atom) = 0.1261
- total DFT energy (no corrections) (eV/atom) = -2.21



Record 6
DFT (GGA-PBE) results for a geometry-optimized PrMn2 structure. Values from VASP.

The structure in Quantum ESPRESSO input format:
```
&SYSTEM
  ibrav = 0, nat = 12, ntyp = 2
/
ATOMIC_SPECIES
Pr 140.91 Pr.upf
Mn 54.94 Mn.upf
CELL_PARAMETERS angstrom
5.586 0.000 0.000
-2.793 4.838 0.000
0.000 0.000 8.284
ATOMIC_POSITIONS angstrom
Pr 0.000 3.225 0.481
Pr 0.000 3.225 3.661
Pr 2.793 1.613 4.623
Pr 2.793 1.613 7.803
Mn 0.000 0.000 0.000
Mn 0.000 0.000 4.142
Mn 0.000 1.548 6.213
Mn -1.453 4.064 6.213
Mn 1.340 0.774 2.071
Mn 1.453 4.064 6.213
Mn 4.246 0.774 2.071
Mn 2.793 3.290 2.071
```

Properties
- ΔH_f (0 K) (meV/atom) = 218
- N(E_F) (states/eV per atom) = 0.8498
- total DFT energy (no corrections) (eV/atom) = -7.49